## K6WF12 (PBE+U)

Data for a geometry-optimized K6WF12 structure.

Output
- VASP energy: -4.53 eV per atom
- Theoretical density: 2.5 Mg/m³

a b c (Å): 11.5891 11.5891 11.2802
angles (deg): 90.00 90.00 120.00
Closest atoms and distances in Å follow each position.
Space group R-3 (No. 148, hexagonal axes)
Asymmetric unit:
K1 0.0030 0.2237 0.1175 [18 per cell]  4 F 2.54-2.60
W1 0.0000 0.0000 0.5000 [3 per cell]  6 F 1.88
F1 0.9995 0.2211 0.8873 [18 per cell]  4 K 2.54-2.60
F2 0.0074 0.1360 0.4035 [18 per cell]  1 W 1.88